# 1
{
  "formula": "ErInCu2",
  "functional": "meta-GGA SCAN",
  "state": "single point on PBEsol structure",
  "cell": [[0.0000, 3.2398, 3.2398], [3.2398, 0.0000, 3.2398], [3.2398, 3.2398, 0.0000]],
  "species": ["Er", "In", "Cu", "Cu"],
  "fractional_positions": [[0.0000, 0.0000, 0.0000], [0.5000, 0.5000, 0.5000], [0.2500, 0.2500, 0.2500], [0.7500, 0.7500, 0.7500]],
  "m_tot_mub_per_cell": 0.0,
  "spacegroup": "Fm-3m",
  "formation_enthalpy_0k_ev_per_atom": -0.39
}


# 2
{
  "formula": "Er2In3Cu",
  "functional": "meta-GGA SCAN",
  "state": "single point on PBEsol structure",
  "cell": [[4.6237, 0.0000, 0.0000], [-2.3119, 4.0042, 0.0000], [0.0000, 0.0000, 7.2624]],
  "species": ["Er", "Er", "In", "In", "In", "Cu"],
  "fractional_positions": [[0.0000, 0.0000, 0.0000], [0.0000, 0.0000, 0.4601], [0.3333, 0.6667, 0.7896], [0.6667, 0.3333, 0.2406], [0.6667, 0.3333, 0.6712], [0.3333, 0.6667, 0.1766]],
  "m_tot_mub_per_cell": 0.0,
  "spacegroup": "P3m1",
  "formation_enthalpy_0k_ev_per_atom": -0.54
}


# 3
{
  "formula": "Er2CuIr",
  "functional": "meta-GGA SCAN",
  "state": "single point on PBEsol structure",
  "cell": [[0.0000, 3.3562, 3.3562], [3.3562, 0.0000, 3.3562], [3.3562, 3.3562, 0.0000]],
  "species": ["Er", "Er", "Cu", "Ir"],
  "fractional_positions": [[0.2500, 0.2500, 0.2500], [0.7500, 0.7500, 0.7500], [0.0000, 0.0000, 0.0000], [0.5000, 0.5000, 0.5000]],
  "m_tot_mub_per_cell": 0.0,
  "spacegroup": "Fm-3m",
  "formation_enthalpy_0k_ev_per_atom": -0.79
}


> Which formula does entry 1 have?

ErInCu2